Record 1
Entry from the Alexandria database: a relaxed structure of La4ErTl3 (GGA-PBE).

a b c (Å): 9.996 9.996 9.996
angles (deg): 32.65 32.65 32.65
Positions (direct):
La1 0.116 0.116 0.116
La2 0.367 0.367 0.367
La3 0.633 0.633 0.633
La4 0.884 0.884 0.884
Er1 0.500 0.500 0.500
Tl1 0.000 0.000 0.000
Tl2 0.237 0.237 0.237
Tl3 0.763 0.763 0.763

Record 2
Entry from the Alexandria database: a relaxed structure of La4ErTl (GGA-PBE).

a b c (Å): 6.232 7.100 8.885
angles (deg): 90.00 90.15 90.00
Positions (direct):
La1 0.000 0.000 0.000
La2 0.000 0.500 0.000
La3 0.346 0.006 0.342
La4 0.346 0.494 0.342
La5 0.474 0.750 0.986
La6 0.526 0.250 0.014
La7 0.654 0.506 0.658
La8 0.654 0.994 0.658
Er1 0.158 0.250 0.668
Er2 0.842 0.750 0.332
Tl1 0.149 0.750 0.653
Tl2 0.851 0.250 0.347

Record 3
Entry from the Alexandria database: a relaxed structure of LaEr2TmTl2 (GGA-PBE).

a b c (Å): 5.153 10.061 6.798
angles (deg): 90.00 90.00 90.00
Positions (direct):
La1 0.000 0.042 0.000
La2 0.000 0.958 0.500
Er1 0.000 0.320 0.382
Er2 0.000 0.680 0.882
Er3 0.500 0.455 0.093
Er4 0.500 0.545 0.593
Tm1 0.500 0.198 0.722
Tm2 0.500 0.802 0.222
Tl1 0.000 0.368 0.842
Tl2 0.000 0.632 0.342
Tl3 0.500 0.143 0.267
Tl4 0.500 0.857 0.767

Record 4
Entry from the Alexandria database: a relaxed structure of La2ErTmTl2 (GGA-PBE).

a b c (Å): 5.068 10.246 6.959
angles (deg): 90.00 90.00 90.00
Positions (direct):
La1 0.000 0.061 0.000
La2 0.000 0.939 0.500
La3 0.500 0.179 0.221
La4 0.500 0.821 0.721
Er1 0.500 0.459 0.869
Er2 0.500 0.541 0.369
Tm1 0.000 0.308 0.578
Tm2 0.000 0.692 0.078
Tl1 0.000 0.392 0.132
Tl2 0.000 0.608 0.632
Tl3 0.500 0.152 0.708
Tl4 0.500 0.848 0.208

Total energy / eV per atom: -4.190 -4.552 -4.136 -4.216